A relaxed Pr4PPbS2 crystal, computed with PBE.

a = 4.2534 Å, b = 7.3689 Å, c = 7.4551 Å
α = 70.51°, β = 90.00°, γ = 90.00°
With the nearest neighbours (Å) after each atom.
Fractional positions:
1 S 0.5000 0.0000 0.5000  6 Pr 2.92-2.95
2 Pr 0.0000 0.2369 0.2686  3 S 2.92-3.06, 1 P 2.99, 2 Pb 3.11
3 Pb 0.5000 0.5000 0.0000  6 Pr 3.11
4 Pr 0.0000 0.7631 0.7314  3 S 2.92-3.06, 1 P 2.99, 2 Pb 3.11
5 Pr 0.5000 0.7515 0.2619  3 S 2.95-3.05, 2 P 2.99, 1 Pb 3.11
6 P 0.0000 0.5000 0.5000  6 Pr 2.99
7 Pr 0.5000 0.2485 0.7381  3 S 2.95-3.05, 2 P 2.99, 1 Pb 3.11
8 S 0.0000 0.0000 0.0000  6 Pr 3.05-3.06

Uncorrected energy: -6.051 eV per atom
Crystal system: monoclinic
Space-group type: P2/m (10)
ΔE_f (raw): -11.91 eV/f.u.

A relaxed Pr4PPb2Se crystal, computed with PBE.

a = 4.2042 Å, b = 8.3021 Å, c = 7.2875 Å
α = 73.00°, β = 90.00°, γ = 90.00°
With the nearest neighbours (Å) after each atom.
Fractional positions:
1 Pr 0.5000 0.2889 0.7306  2 P 2.93, 1 Se 2.99
2 Pb 0.5000 0.0000 0.5000  6 Pr 3.29-3.31
3 Pr 0.0000 0.7173 0.7530  1 P 2.93, 2 Se 3.00
4 Se 0.5000 0.5000 0.0000  6 Pr 2.99-3.00
5 Pb 0.0000 0.0000 0.0000  6 Pr 3.35-3.36
6 P 0.0000 0.5000 0.5000  6 Pr 2.93
7 Pr 0.0000 0.2827 0.2470  1 P 2.93, 2 Se 3.00
8 Pr 0.5000 0.7111 0.2694  2 P 2.93, 1 Se 2.99

Uncorrected energy: -5.532 eV per atom
Crystal system: monoclinic
Space-group type: P2/m (10)
ΔE_f (raw): -8.82 eV/f.u.

A relaxed Pr8Te4P3Pb crystal, computed with PBE.

a = 8.7636 Å, b = 8.9489 Å, c = 8.7643 Å
α = 119.32°, β = 120.00°, γ = 90.00°
With the nearest neighbours (Å) after each atom.
Fractional positions:
1 Pr 0.7516 0.2761 0.0244  2 P 2.98, 1 Pb 3.11, 3 Te 3.17-3.29
2 Pr 0.2728 0.2761 0.0244  2 P 2.98, 1 Pb 3.11, 3 Te 3.17-3.29
3 Pr 0.2484 0.7239 0.9756  2 P 2.98, 1 Pb 3.11, 3 Te 3.17-3.29
4 Pr 0.2484 0.7239 0.4967  2 P 2.98, 1 Pb 3.11, 3 Te 3.17-3.29
5 P 0.0000 0.5000 0.5000  6 Pr 2.98
6 Te 0.5000 0.0000 0.0000  6 Pr 3.17
7 P 0.5000 0.5000 0.5000  6 Pr 2.98
8 Te 0.0000 0.0000 0.5000  6 Pr 3.29-3.30
9 Pr 0.7516 0.2761 0.5033  2 P 2.98, 1 Pb 3.11, 3 Te 3.17-3.29
10 Te 0.0000 0.0000 0.0000  6 Pr 3.29-3.30
11 Te 0.5000 0.0000 0.5000  6 Pr 3.29-3.30
12 P 0.5000 0.5000 0.0000  6 Pr 2.98
13 Pb 0.0000 0.5000 0.0000  6 Pr 3.11
14 Pr 0.2623 0.2867 0.5245  3 P 2.98, 3 Te 3.30
15 Pr 0.7377 0.7133 0.4755  3 P 2.98, 3 Te 3.30
16 Pr 0.7272 0.7239 0.9756  2 P 2.98, 1 Pb 3.11, 3 Te 3.17-3.29

Uncorrected energy: -5.833 eV per atom
Crystal system: trigonal
Space-group type: R-3m (166)
ΔE_f (raw): -22.59 eV/f.u.

A relaxed P3Pt2Pb2 crystal, computed with PBE.

a = 3.9858 Å, b = 8.4208 Å, c = 8.5701 Å
α = 90.00°, β = 90.00°, γ = 90.00°
With the nearest neighbours (Å) after each atom.
Fractional positions:
1 P 0.5000 0.8439 0.3490  2 Pt 2.37-2.39
2 Pb 0.0000 0.8222 0.5962  3 P 2.84-2.91, 2 Pt 2.97
3 Pt 0.5000 0.0608 0.1731  4 P 2.37-2.54
4 P 0.5000 0.1561 0.6510  2 Pt 2.37-2.39
5 Pb 0.0000 0.1778 0.4038  3 P 2.84-2.91, 2 Pt 2.97
6 P 0.0000 0.5000 0.5000  4 Pt 2.54, 2 Pb 2.84
7 Pt 0.5000 0.5608 0.3269  4 P 2.37-2.54
8 P 0.5000 0.6561 0.8490  2 Pt 2.37-2.39
9 Pt 0.5000 0.4392 0.6731  4 P 2.37-2.54
10 P 0.5000 0.3439 0.1510  2 Pt 2.37-2.39
11 Pt 0.5000 0.9392 0.8269  4 P 2.37-2.54
12 P 0.0000 0.0000 0.0000  4 Pt 2.54, 2 Pb 2.84
13 Pb 0.0000 0.3222 0.9038  3 P 2.84-2.91, 2 Pt 2.97
14 Pb 0.0000 0.6778 0.0962  3 P 2.84-2.91, 2 Pt 2.97

Uncorrected energy: -5.151 eV per atom
Crystal system: orthorhombic
Space-group type: Pbam (55)
ΔE_f: -0.047 eV/atom

A relaxed PPt2Pb2 crystal, computed with PBE.

a = 6.2411 Å, b = 6.2411 Å, c = 5.6009 Å
α = 90.00°, β = 90.00°, γ = 90.00°
With the nearest neighbours (Å) after each atom.
Fractional positions:
1 Pb 0.3147 0.1853 0.5000  2 Pt 3.12, 5 Pb 3.22-3.27
2 Pb 0.8147 0.3147 0.5000  2 Pt 3.12, 5 Pb 3.22-3.27
3 Pt 0.6594 0.1594 0.0000  2 P 2.35
4 Pt 0.1594 0.3406 0.0000  2 P 2.35
5 Pt 0.3406 0.8406 0.0000  2 P 2.35
6 Pb 0.1853 0.6853 0.5000  2 Pt 3.12, 5 Pb 3.22-3.27
7 P 0.0000 0.0000 0.0000  4 Pt 2.35
8 Pt 0.8406 0.6594 0.0000  2 P 2.35
9 Pb 0.6853 0.8147 0.5000  2 Pt 3.12, 5 Pb 3.22-3.27
10 P 0.5000 0.5000 0.0000  4 Pt 2.35

Uncorrected energy: -5.024 eV per atom
Crystal system: tetragonal
Space-group type: P4/mbm (127)
ΔE_f: -0.043 eV/atom

A relaxed PPt3Pb crystal, computed with PBE.

a = 4.1504 Å, b = 4.1504 Å, c = 6.1317 Å
α = 70.20°, β = 70.20°, γ = 89.84°
With the nearest neighbours (Å) after each atom.
Fractional positions:
1 Pt 0.6358 0.9397 0.4337  2 P 2.36
2 Pt 0.8218 0.6253 0.0611  1 P 2.26
3 Pt 0.1363 0.4393 0.4337  2 P 2.36
4 Pb 0.3815 0.1850 0.9417  4 Pt 3.00-3.01, 4 P 3.35-3.36
5 P 0.0324 0.8359 0.6408  5 Pt 2.26-2.36

Uncorrected energy: -5.786 eV per atom
Crystal system: orthorhombic
Space-group type: Fmm2 (42)
Polymorph energy (0 for the lowest one): 0.0 kJ/mol of formula units
ΔE_f: -0.338 eV/atom

A relaxed PPt3Pb crystal, computed with PBE.

a = 4.6219 Å, b = 4.6219 Å, c = 4.6219 Å
α = 90.00°, β = 90.00°, γ = 90.00°
With the nearest neighbours (Å) after each atom.
Fractional positions:
1 Pb 0.5000 0.5000 0.5000  12 Pt 3.27
2 P 0.0000 0.0000 0.0000  6 Pt 2.31
3 Pt 0.0000 0.0000 0.5000  2 P 2.31
4 Pt 0.5000 0.0000 0.0000  2 P 2.31
5 Pt 0.0000 0.5000 0.0000  2 P 2.31

Uncorrected energy: -5.550 eV per atom
Crystal system: cubic
Space-group type: Pm-3m (221)
Polymorph energy (0 for the lowest one): 113.9 kJ/mol of formula units
ΔE_f: -0.102 eV/atom

A relaxed P2Pt8Pb crystal, computed with PBE.

a = 5.4909 Å, b = 5.4909 Å, c = 8.0384 Å
α = 109.97°, β = 109.97°, γ = 90.00°
With the nearest neighbours (Å) after each atom.
Fractional positions:
1 Pt 0.3926 0.3926 0.2920  2 P 2.43, 2 Pt 2.71
2 Pt 0.6074 0.1006 0.7080  2 P 2.43, 2 Pt 2.71
3 Pt 0.8994 0.8994 0.2920  2 P 2.43, 2 Pt 2.71
4 Pt 0.1006 0.1006 0.7080  2 P 2.43, 2 Pt 2.71
5 Pt 0.3926 0.8994 0.2920  2 P 2.43, 2 Pt 2.71
6 P 0.2500 0.7500 0.5000  8 Pt 2.43
7 P 0.7500 0.2500 0.5000  8 Pt 2.43
8 Pb 0.5000 0.5000 0.0000  8 Pt 2.85
9 Pt 0.1006 0.6074 0.7080  2 P 2.43, 2 Pt 2.71
10 Pt 0.6074 0.6074 0.7080  2 P 2.43, 2 Pt 2.71
11 Pt 0.8994 0.3926 0.2920  2 P 2.43, 2 Pt 2.71

Uncorrected energy: -5.784 eV per atom
Crystal system: tetragonal
Space-group type: I4/mmm (139)
ΔE_f: -0.070 eV/atom

A relaxed P2Pt9Pb3 crystal, computed with PBE.

a = 5.6474 Å, b = 5.6474 Å, c = 19.9779 Å
α = 90.00°, β = 90.00°, γ = 120.00°
With the nearest neighbours (Å) after each atom.
Fractional positions:
1 Pt 0.8389 0.1611 0.4186  1 P 2.31
2 P 0.6667 0.3333 0.3392  6 Pt 2.31-2.45
3 Pb 0.3333 0.6667 0.0489  9 Pt 2.90-3.10
4 Pt 0.1611 0.3222 0.9186  1 P 2.31
5 Pt 0.8389 0.6778 0.4186  1 P 2.31
6 Pt 0.4955 0.9910 0.2500  2 P 2.45
7 Pt 0.0090 0.5045 0.2500  2 P 2.45
8 Pt 0.1611 0.3222 0.5814  1 P 2.31
9 Pb 0.0000 0.0000 0.7500  6 Pt 2.82
10 Pt 0.8389 0.1611 0.0814  1 P 2.31
11 Pb 0.3333 0.6667 0.4511  9 Pt 2.90-3.10
12 Pt 0.8389 0.6778 0.0814  1 P 2.31
13 Pb 0.6667 0.3333 0.5489  9 Pt 2.90-3.10
14 Pt 0.6778 0.8389 0.5814  1 P 2.31
15 Pt 0.9910 0.4955 0.7500  2 P 2.45
16 Pt 0.5045 0.0090 0.7500  2 P 2.45
17 P 0.3333 0.6667 0.6608  6 Pt 2.31-2.45
18 Pt 0.1611 0.8389 0.9186  1 P 2.31
19 Pt 0.1611 0.8389 0.5814  1 P 2.31
20 Pt 0.3222 0.1611 0.4186  1 P 2.31
21 P 0.3333 0.6667 0.8392  6 Pt 2.31-2.45
22 Pt 0.5045 0.4955 0.7500  2 P 2.45
23 Pt 0.6778 0.8389 0.9186  1 P 2.31
24 Pb 0.0000 0.0000 0.2500  6 Pt 2.82
25 Pb 0.6667 0.3333 0.9511  9 Pt 2.90-3.10
26 Pt 0.3222 0.1611 0.0814  1 P 2.31
27 Pt 0.4955 0.5045 0.2500  2 P 2.45
28 P 0.6667 0.3333 0.1608  6 Pt 2.31-2.45

Uncorrected energy: -5.627 eV per atom
Crystal system: hexagonal
Space-group type: P6_3/mmc (194)
ΔE_f: -0.177 eV/atom

A relaxed P3PtPb crystal, computed with PBE.

a = 4.7979 Å, b = 4.7979 Å, c = 4.7979 Å
α = 90.00°, β = 90.00°, γ = 90.00°
With the nearest neighbours (Å) after each atom.
Fractional positions:
1 P 0.0000 0.5000 0.0000  2 Pt 2.40
2 P 0.0000 0.0000 0.5000  2 Pt 2.40
3 P 0.5000 0.0000 0.0000  2 Pt 2.40
4 Pt 0.0000 0.0000 0.0000  6 P 2.40
5 Pb 0.5000 0.5000 0.5000  12 P 3.39

Uncorrected energy: -4.603 eV per atom
Crystal system: cubic
Space-group type: Pm-3m (221)
Polymorph energy (0 for the lowest one): 0.0 kJ/mol of formula units
ΔE_f: 0.593 eV/atom

A relaxed P4Pt2Pb crystal, computed with PBE.

a = 8.0950 Å, b = 6.1226 Å, c = 5.9777 Å
α = 84.47°, β = 71.48°, γ = 74.64°
With the nearest neighbours (Å) after each atom.
Fractional positions:
1 P 0.7950 0.2952 0.7675  1 P 2.22, 2 Pt 2.42-2.43
2 P 0.5560 0.8637 0.8717  1 P 2.18, 2 Pt 2.39-2.43
3 Pt 0.5000 0.5000 0.5000  4 P 2.36-2.42
4 Pt 0.0000 0.5000 0.5000  4 P 2.39-2.43
5 Pb 0.1013 0.1798 0.1146  4 P 2.74-2.94, 1 Pt 2.94
6 P 0.7477 0.1815 0.4563  1 P 2.22, 2 Pt 2.36-2.47
7 Pt 0.5000 0.0000 0.5000  6 P 2.43-2.48
8 P 0.2461 0.3325 0.6511  3 Pt 2.39-2.48
9 P 0.2523 0.8185 0.5437  1 P 2.22, 2 Pt 2.36-2.47
10 P 0.4440 0.1363 0.1283  1 P 2.18, 2 Pt 2.39-2.43
11 Pb 0.8987 0.8202 0.8854  4 P 2.74-2.94, 1 Pt 2.94
12 P 0.7539 0.6675 0.3489  3 Pt 2.39-2.48
13 P 0.2050 0.7048 0.2325  1 P 2.22, 2 Pt 2.42-2.43
14 Pt 0.5000 0.5000 0.0000  4 P 2.39-2.42

Uncorrected energy: -5.518 eV per atom
Crystal system: triclinic
Space-group type: P-1 (2)
ΔE_f: -0.171 eV/atom

A relaxed P2PtPb2 crystal, computed with PBE.

a = 6.1126 Å, b = 6.1126 Å, c = 5.9715 Å
α = 90.00°, β = 90.00°, γ = 90.00°
With the nearest neighbours (Å) after each atom.
Fractional positions:
1 Pb 0.1898 0.3102 0.5000  2 P 3.03, 5 Pb 3.14-3.28
2 P 0.6294 0.1294 0.0000  1 P 2.24, 2 Pt 2.40
3 Pt 0.0000 0.0000 0.0000  4 P 2.40
4 Pt 0.5000 0.5000 0.0000  4 P 2.40
5 Pb 0.8102 0.6898 0.5000  2 P 3.03, 5 Pb 3.14-3.28
6 P 0.3706 0.8706 0.0000  1 P 2.24, 2 Pt 2.40
7 Pb 0.3102 0.8102 0.5000  2 P 3.03, 5 Pb 3.14-3.28
8 P 0.8706 0.6294 0.0000  1 P 2.24, 2 Pt 2.40
9 Pb 0.6898 0.1898 0.5000  2 P 3.03, 5 Pb 3.14-3.28
10 P 0.1294 0.3706 0.0000  1 P 2.24, 2 Pt 2.40

Uncorrected energy: -5.003 eV per atom
Crystal system: tetragonal
Space-group type: P4/mbm (127)
ΔE_f: -0.148 eV/atom